Here is a relaxed structure of PmCoGe from the Alexandria database. Energies are from GGA-PBE.

Cell lengths 4.1486, 4.1486, 6.7904 Å; angles 90.00, 90.00, 90.00 degrees
Closest atoms and distances in Å follow each position.
Fractional positions:
Pm: 0.7500 0.7500 0.3103  4 Co 2.96, 4 Ge 3.05
Pm: 0.2500 0.2500 0.6897  4 Co 2.96, 4 Ge 3.05
Co: 0.2500 0.7500 0.0000  4 Ge 2.44
Ge: 0.2500 0.2500 0.1884  4 Co 2.44
Ge: 0.7500 0.7500 0.8116  4 Co 2.44
Co: 0.7500 0.2500 0.0000  4 Ge 2.44

Values from the calculation:
ΔE to the lowest computed polymorph   0 meV per atom

Here is a relaxed structure of PmPrCoGe from the Alexandria database. Energies are from GGA-PBE.

Cell lengths 5.1055, 5.1055, 5.1055 Å; angles 60.00, 60.00, 60.00 degrees
Closest atoms and distances in Å follow each position.
Fractional positions:
Pm: 0.5000 0.5000 0.5000  4 Ge 3.13, 4 Co 3.13
Ge: 0.2500 0.2500 0.2500  4 Pr 3.13, 4 Pm 3.13
Pr: 0.0000 0.0000 0.0000  4 Co 3.13, 4 Ge 3.13
Co: 0.7500 0.7500 0.7500  4 Pr 3.13, 4 Pm 3.13

Here is a relaxed structure of PmCoGe2Pt from the Alexandria database. Energies are from GGA-PBE.

Cell lengths 4.1779, 4.1779, 5.9311 Å; angles 110.62, 110.62, 90.00 degrees
Closest atoms and distances in Å follow each position.
Fractional positions:
Co: 0.2500 0.7500 0.5000  4 Ge 2.46
Ge: 0.3763 0.3763 0.7527  2 Pt 2.46, 2 Co 2.46, 1 Ge 2.54
Pt: 0.7500 0.2500 0.5000  4 Ge 2.46
Ge: 0.6237 0.6237 0.2473  2 Pt 2.46, 2 Co 2.46, 1 Ge 2.54
Pm: 0.0000 0.0000 0.0000  8 Ge 3.22, 4 Co 3.31, 4 Pt 3.31

Here is a relaxed structure of Pm2CoGe3Pt4 from the Alexandria database. Energies are from GGA-PBE.

Cell lengths 4.3059, 4.3059, 10.1520 Å; angles 90.00, 90.00, 90.00 degrees
Closest atoms and distances in Å follow each position.
Fractional positions:
Pm: 0.0000 0.5000 0.7425  8 Pt 3.27-3.39, 6 Ge 3.27-3.29, 2 Co 3.27
Pm: 0.5000 0.0000 0.2575  8 Pt 3.27-3.39, 2 Co 3.27, 6 Ge 3.27-3.29
Pt: 0.5000 0.5000 0.0000  4 Ge 2.55
Ge: 0.0000 0.5000 0.1340  5 Pt 2.44-2.55
Pt: 0.5000 0.0000 0.6257  3 Ge 2.44-2.50, 2 Co 2.50
Co: 0.5000 0.5000 0.5000  4 Pt 2.50
Pt: 0.0000 0.0000 0.0000  4 Ge 2.55
Ge: 0.0000 0.0000 0.5000  4 Pt 2.50
Pt: 0.0000 0.5000 0.3743  3 Ge 2.44-2.50, 2 Co 2.50
Ge: 0.5000 0.0000 0.8660  5 Pt 2.44-2.55

Here is a relaxed structure of Pm2CoGe4Pt3 from the Alexandria database. Energies are from GGA-PBE.

Cell lengths 4.2634, 4.2634, 10.2797 Å; angles 90.00, 90.00, 90.00 degrees
Closest atoms and distances in Å follow each position.
Fractional positions:
Ge: 0.5000 0.5000 0.0000  4 Pt 2.54
Pt: 0.0000 0.5000 0.1337  5 Ge 2.48-2.54
Co: 0.5000 0.5000 0.5000  4 Ge 2.49
Pt: 0.0000 0.0000 0.5000  4 Ge 2.49
Pm: 0.0000 0.5000 0.7455  8 Ge 3.26-3.37, 6 Pt 3.26-3.30, 2 Co 3.30
Ge: 0.0000 0.5000 0.3748  3 Pt 2.48-2.49, 2 Co 2.49
Pt: 0.5000 0.0000 0.8663  5 Ge 2.48-2.54
Ge: 0.5000 0.0000 0.6252  3 Pt 2.48-2.49, 2 Co 2.49
Ge: 0.0000 0.0000 0.0000  4 Pt 2.54
Pm: 0.5000 0.0000 0.2545  8 Ge 3.26-3.37, 6 Pt 3.26-3.30, 2 Co 3.30

Here is a relaxed structure of PmPuCoGe from the Alexandria database. Energies are from GGA-PBE.

Cell lengths 4.9847, 4.9847, 4.9847 Å; angles 60.00, 60.00, 60.00 degrees
Closest atoms and distances in Å follow each position.
Fractional positions:
Ge: 0.2500 0.2500 0.2500  4 Pu 3.05, 4 Pm 3.05
Co: 0.7500 0.7500 0.7500  4 Pm 3.05, 4 Pu 3.05
Pm: 0.0000 0.0000 0.0000  4 Ge 3.05, 4 Co 3.05
Pu: 0.5000 0.5000 0.5000  4 Co 3.05, 4 Ge 3.05

Here is a relaxed structure of Pm2CoGe3Rh4 from the Alexandria database. Energies are from GGA-PBE.

Cell lengths 4.1993, 4.1993, 10.1803 Å; angles 90.00, 90.00, 90.00 degrees
Closest atoms and distances in Å follow each position.
Fractional positions:
Co: 0.5000 0.5000 0.5000  4 Rh 2.47
Rh: 0.5000 0.0000 0.6282  3 Ge 2.45-2.47, 2 Co 2.47
Rh: 0.0000 0.5000 0.3718  3 Ge 2.45-2.47, 2 Co 2.47
Ge: 0.0000 0.5000 0.1312  5 Rh 2.45-2.49
Pm: 0.5000 0.0000 0.2552  8 Rh 3.20-3.34, 6 Ge 3.23-3.26, 2 Co 3.26
Ge: 0.0000 0.0000 0.5000  4 Rh 2.47
Pm: 0.0000 0.5000 0.7448  8 Rh 3.20-3.34, 6 Ge 3.23-3.26, 2 Co 3.26
Rh: 0.0000 0.0000 0.0000  4 Ge 2.49
Rh: 0.5000 0.5000 0.0000  4 Ge 2.49
Ge: 0.5000 0.0000 0.8688  5 Rh 2.45-2.49

Here is a relaxed structure of PmCoGeRh from the Alexandria database. Energies are from GGA-PBE.

Cell lengths 4.5773, 4.5773, 4.5773 Å; angles 60.00, 60.00, 60.00 degrees
Closest atoms and distances in Å follow each position.
Fractional positions:
Co: 0.5000 0.5000 0.5000  4 Pm 2.80, 4 Ge 2.80
Ge: 0.2500 0.2500 0.2500  4 Co 2.80, 4 Rh 2.80
Pm: 0.7500 0.7500 0.7500  4 Co 2.80, 4 Rh 2.80
Rh: 0.0000 0.0000 0.0000  4 Ge 2.80, 4 Pm 2.80

Here is a relaxed structure of Pm2CoGe4Rh3 from the Alexandria database. Energies are from GGA-PBE.

Cell lengths 4.2283, 4.2283, 10.0512 Å; angles 90.00, 90.00, 90.00 degrees
Closest atoms and distances in Å follow each position.
Fractional positions:
Pm: 0.5000 0.0000 0.2479  6 Rh 3.22-3.30, 8 Ge 3.25-3.27, 2 Co 3.30
Rh: 0.0000 0.0000 0.5000  4 Ge 2.46
Pm: 0.0000 0.5000 0.7521  6 Rh 3.22-3.30, 8 Ge 3.25-3.27, 2 Co 3.30
Rh: 0.5000 0.0000 0.8701  5 Ge 2.46-2.48
Co: 0.5000 0.5000 0.5000  4 Ge 2.46
Ge: 0.5000 0.5000 0.0000  4 Rh 2.48
Ge: 0.0000 0.5000 0.3744  3 Rh 2.46, 2 Co 2.46
Ge: 0.0000 0.0000 0.0000  4 Rh 2.48
Rh: 0.0000 0.5000 0.1299  5 Ge 2.46-2.48
Ge: 0.5000 0.0000 0.6256  3 Rh 2.46, 2 Co 2.46

Here is a relaxed structure of PmCoGeRu from the Alexandria database. Energies are from GGA-PBE.

Cell lengths 4.5356, 4.5356, 4.5356 Å; angles 60.00, 60.00, 60.00 degrees
Closest atoms and distances in Å follow each position.
Fractional positions:
Ge: 0.0000 0.0000 0.0000  4 Co 2.78, 4 Ru 2.78
Pm: 0.5000 0.5000 0.5000  4 Co 2.78, 4 Ru 2.78
Co: 0.7500 0.7500 0.7500  4 Pm 2.78, 4 Ge 2.78
Ru: 0.2500 0.2500 0.2500  4 Ge 2.78, 4 Pm 2.78

Here is a relaxed structure of PmSmCoGe from the Alexandria database. Energies are from GGA-PBE.

Cell lengths 5.0475, 5.0475, 5.0475 Å; angles 60.00, 60.00, 60.00 degrees
Closest atoms and distances in Å follow each position.
Fractional positions:
Pm: 0.0000 0.0000 0.0000  4 Ge 3.09, 4 Co 3.09
Sm: 0.5000 0.5000 0.5000  4 Co 3.09, 4 Ge 3.09
Co: 0.7500 0.7500 0.7500  4 Pm 3.09, 4 Sm 3.09
Ge: 0.2500 0.2500 0.2500  4 Sm 3.09, 4 Pm 3.09

Here is a relaxed structure of Pm2Co4SnGe3 from the Alexandria database. Energies are from GGA-PBE.

Cell lengths 4.1493, 4.1493, 9.9449 Å; angles 90.00, 90.00, 90.00 degrees
Closest atoms and distances in Å follow each position.
Fractional positions:
Ge: 0.0000 0.5000 0.1235  5 Co 2.35-2.41
Pm: 0.5000 0.0000 0.2425  8 Co 3.16-3.18, 6 Ge 3.16-3.30, 2 Sn 3.30
Co: 0.5000 0.5000 0.0000  4 Ge 2.41
Co: 0.5000 0.0000 0.6407  3 Ge 2.35-2.50, 2 Sn 2.50
Sn: 0.5000 0.5000 0.5000  4 Co 2.50
Pm: 0.0000 0.5000 0.7575  8 Co 3.16-3.18, 6 Ge 3.16-3.30, 2 Sn 3.30
Ge: 0.5000 0.0000 0.8765  5 Co 2.35-2.41
Co: 0.0000 0.0000 0.0000  4 Ge 2.41
Ge: 0.0000 0.0000 0.5000  4 Co 2.50
Co: 0.0000 0.5000 0.3593  3 Ge 2.35-2.50, 2 Sn 2.50

Number 1: total magnetic moment 0.8 μB/cell, ΔH_f (0 K) -619 meV/atom. Number 2: total magnetic moment 0.9 μB/cell, ΔH_f (0 K) -281 meV/atom. Number 3: total magnetic moment 1.2 μB/cell, ΔH_f (0 K) -727 meV/atom. Number 4: total magnetic moment 2.0 μB/cell, ΔH_f (0 K) -811 meV/atom. Number 5: total magnetic moment 0.9 μB/cell, ΔH_f (0 K) -839 meV/atom. Number 6: total magnetic moment 6.4 μB/cell, ΔH_f (0 K) -104 meV/atom. Number 7: total magnetic moment 1.6 μB/cell, ΔH_f (0 K) -750 meV/atom. Number 8: total magnetic moment 1.1 μB/cell, ΔH_f (0 K) -323 meV/atom. Number 9: total magnetic moment 0.0 μB/cell, ΔH_f (0 K) -769 meV/atom. Number 10: total magnetic moment 0.0 μB/cell, ΔH_f (0 K) -140 meV/atom. Number 11: total magnetic moment 0.8 μB/cell, ΔH_f (0 K) -318 meV/atom. Number 12: total magnetic moment 0.0 μB/cell, ΔH_f (0 K) -480 meV/atom.